# Pr2Ga3CuIr4 | the Alexandria database | PBE | relaxed
# - Spin magnetization: 0.00 μB/f.u.
# - Calculated total energy: -64.06 eV/cell
# - Formation energy from the elements: -5.88 eV per formula unit
data_Pr2Ga3CuIr4
_chemical_formula_sum 'Pr2 Ga3 Cu1 Ir4'
_space_group_name_H-M_alt 'P 1'
_space_group_IT_number 1
_cell_length_a 4.238
_cell_length_b 4.238
_cell_length_c 10.445
_cell_angle_alpha 90.00
_cell_angle_beta 90.00
_cell_angle_gamma 90.00
loop_
_space_group_symop_operation_xyz
'x,y,z'
loop_
_atom_site_label
_atom_site_fract_x
_atom_site_fract_y
_atom_site_fract_z
Pr1 0.500 0.000 0.248
Pr2 0.000 0.500 0.752
Ga1 0.000 0.500 0.127
Ga2 0.500 0.000 0.873
Ga3 0.000 0.000 0.500
Ir1 0.000 0.000 0.000
Ir2 0.500 0.500 0.000
Ir3 0.500 0.000 0.635
Ir4 0.000 0.500 0.365
Cu1 0.500 0.500 0.500

***

# Tb2Er5Te4 | the Alexandria database | PBE | relaxed
# - Spin magnetization: 0.80 μB/f.u.
# - E_form (uncorrected): -627 meV/atom
# - Calculated total energy: -51.54 eV/cell
data_Tb2Er5Te4
_chemical_formula_sum 'Tb2 Er5 Te4'
_space_group_name_H-M_alt 'P 1'
_space_group_IT_number 1
_cell_length_a 4.018
_cell_length_b 7.221
_cell_length_c 14.568
_cell_angle_alpha 118.15
_cell_angle_beta 97.93
_cell_angle_gamma 90.00
loop_
_space_group_symop_operation_xyz
'x,y,z'
loop_
_atom_site_label
_atom_site_fract_x
_atom_site_fract_y
_atom_site_fract_z
Te1 0.405 0.537 0.809
Te2 0.951 0.168 0.902
Te3 0.049 0.832 0.098
Te4 0.595 0.463 0.191
Er1 0.861 0.730 0.723
Er2 0.158 0.822 0.316
Er3 0.139 0.270 0.277
Er4 0.842 0.178 0.684
Er5 0.500 0.000 0.000
Tb1 0.266 0.334 0.531
Tb2 0.734 0.666 0.469

***

# Ca5In2Ga2 | the Alexandria database | PBE | relaxed
# - Spin magnetization: 0.00 μB/f.u.
# - Calculated total energy: -49.56 eV/cell
# - Formation energy from the elements: -3.24 eV per formula unit
data_Ca5In2Ga2
_chemical_formula_sum 'Ca10 In4 Ga4'
_space_group_name_H-M_alt 'P 1'
_space_group_IT_number 1
_cell_length_a 8.306
_cell_length_b 7.467
_cell_length_c 9.569
_cell_angle_alpha 90.00
_cell_angle_beta 64.28
_cell_angle_gamma 90.00
loop_
_space_group_symop_operation_xyz
'x,y,z'
loop_
_atom_site_label
_atom_site_fract_x
_atom_site_fract_y
_atom_site_fract_z
In1 0.223 0.000 0.553
In2 0.723 0.500 0.553
In3 0.277 0.500 0.447
In4 0.777 0.000 0.447
Ca1 0.826 0.813 0.735
Ca2 0.561 0.813 0.265
Ca3 0.174 0.187 0.265
Ca4 0.000 0.000 0.000
Ca5 0.439 0.187 0.735
Ca6 0.674 0.313 0.265
Ca7 0.500 0.500 0.000
Ca8 0.326 0.687 0.735
Ca9 0.061 0.687 0.265
Ca10 0.939 0.313 0.735
Ga1 0.875 0.589 0.000
Ga2 0.625 0.089 0.000
Ga3 0.375 0.911 0.000
Ga4 0.125 0.411 0.000

***

# Pm8Hg2Pt | the Alexandria database | PBE | relaxed
# - Spin magnetization: 0.00 μB/f.u.
# - Calculated total energy: -48.13 eV/cell
# - Formation energy from the elements: -3.48 eV per formula unit
# - Energy above the lowest structure with this stoichiometry: 0.044 eV/atom
data_Pm8Hg2Pt
_chemical_formula_sum 'Pm8 Hg2 Pt1'
_space_group_name_H-M_alt 'P 1'
_space_group_IT_number 1
_cell_length_a 6.436
_cell_length_b 9.137
_cell_length_c 9.137
_cell_angle_alpha 129.35
_cell_angle_beta 103.74
_cell_angle_gamma 103.74
loop_
_space_group_symop_operation_xyz
'x,y,z'
loop_
_atom_site_label
_atom_site_fract_x
_atom_site_fract_y
_atom_site_fract_z
Pm1 0.290 0.611 0.839
Pm2 0.290 0.839 0.611
Pm3 0.131 0.276 0.276
Pm4 0.988 0.810 0.202
Pm5 0.988 0.202 0.810
Pm6 0.759 0.727 0.727
Pm7 0.653 0.392 0.161
Pm8 0.653 0.161 0.392
Pt1 0.282 0.003 0.003
Hg1 0.483 0.287 0.727
Hg2 0.483 0.727 0.287

***

# Pr2DyPuTe5 | the Alexandria database | PBE | relaxed
# - Spin magnetization: 6.03 μB/f.u.
# - E_form (uncorrected): -769 meV/atom
# - Calculated total energy: -51.12 eV/cell
data_Pr2DyPuTe5
_chemical_formula_sum 'Pr2 Dy1 Pu1 Te5'
_space_group_name_H-M_alt 'P 1'
_space_group_IT_number 1
_cell_length_a 5.509
_cell_length_b 5.509
_cell_length_c 11.770
_cell_angle_alpha 90.00
_cell_angle_beta 90.00
_cell_angle_gamma 90.00
loop_
_space_group_symop_operation_xyz
'x,y,z'
loop_
_atom_site_label
_atom_site_fract_x
_atom_site_fract_y
_atom_site_fract_z
Pr1 0.500 0.500 0.323
Pr2 0.500 0.500 0.677
Dy1 0.000 0.000 0.500
Te1 0.500 0.000 0.500
Te2 0.500 0.500 0.000
Te3 0.000 0.000 0.251
Te4 0.000 0.000 0.749
Te5 0.000 0.500 0.500
Pu1 0.000 0.000 0.000

***

# Pm3YSn12 | the Alexandria database | PBE | relaxed
# - Spin magnetization: 0.00 μB/f.u.
# - Calculated total energy: -76.40 eV/cell
# - Formation energy from the elements: -7.65 eV per formula unit
data_Pm3YSn12
_chemical_formula_sum 'Pm3 Y1 Sn12'
_space_group_name_H-M_alt 'P 1'
_space_group_IT_number 1
_cell_length_a 4.768
_cell_length_b 4.768
_cell_length_c 18.828
_cell_angle_alpha 90.00
_cell_angle_beta 90.00
_cell_angle_gamma 90.00
loop_
_space_group_symop_operation_xyz
'x,y,z'
loop_
_atom_site_label
_atom_site_fract_x
_atom_site_fract_y
_atom_site_fract_z
Pm1 0.000 0.000 0.249
Pm2 0.000 0.000 0.751
Pm3 0.000 0.000 0.500
Sn1 0.500 0.000 0.626
Sn2 0.500 0.500 0.751
Sn3 0.000 0.500 0.626
Sn4 0.000 0.500 0.123
Sn5 0.500 0.500 0.000
Sn6 0.500 0.000 0.877
Sn7 0.000 0.500 0.877
Sn8 0.500 0.000 0.123
Sn9 0.500 0.500 0.249
Sn10 0.500 0.000 0.374
Sn11 0.000 0.500 0.374
Sn12 0.500 0.500 0.500
Y1 0.000 0.000 0.000